No. 1
Computed, not measured: crystalline TlCoSnHg2 at its relaxed geometry at the PBE-GGA level of DFT. Values from VASP.

```
&SYSTEM
  ibrav = 0, nat = 5, ntyp = 4
/
ATOMIC_SPECIES
Co 58.93 Co.upf
Hg 200.59 Hg.upf
Tl 204.38 Tl.upf
Sn 118.71 Sn.upf
CELL_PARAMETERS angstrom
5.152 0.000 0.000
0.000 5.152 0.000
0.000 0.000 4.824
ATOMIC_POSITIONS crystal
Co 0.000 0.000 0.000
Hg 0.500 0.000 0.000
Hg 0.000 0.500 0.000
Tl 0.500 0.500 0.500
Sn 0.000 0.000 0.500
```

## Properties
- Space group: No. 123
- Fermi-level density of states: 2.9 states/eV/f.u.
- Energy relative to the elements: 125 meV/atom

=====

No. 2
Computed, not measured: crystalline Tl2CoSnHg at its relaxed geometry at the PBE-GGA level of DFT. Values from VASP.

```
&SYSTEM
  ibrav = 0, nat = 5, ntyp = 4
/
ATOMIC_SPECIES
Sn 118.71 Sn.upf
Tl 204.38 Tl.upf
Co 58.93 Co.upf
Hg 200.59 Hg.upf
CELL_PARAMETERS angstrom
5.143 0.000 0.000
0.000 4.907 0.000
0.000 0.000 5.143
ATOMIC_POSITIONS crystal
Sn 0.000 0.500 0.000
Tl 0.000 0.000 0.500
Tl 0.500 0.000 0.000
Co 0.000 0.000 0.000
Hg 0.500 0.500 0.500
```

## Properties
- Space group: No. 123
- Fermi-level density of states: 3.4 states/eV/f.u.
- Energy relative to the elements: 97 meV/atom

=====

No. 3
Computed, not measured: crystalline ZnCoSn2Hg at its relaxed geometry at the PBE-GGA level of DFT. Values from VASP.

```
&SYSTEM
  ibrav = 0, nat = 5, ntyp = 4
/
ATOMIC_SPECIES
Hg 200.59 Hg.upf
Co 58.93 Co.upf
Sn 118.71 Sn.upf
Zn 65.41 Zn.upf
CELL_PARAMETERS angstrom
-1.147 4.557 -1.325
-3.648 -1.719 -2.752
-2.979 0.337 3.738
ATOMIC_POSITIONS crystal
Hg 0.500 0.500 0.500
Co 0.000 0.000 0.000
Sn 0.500 0.000 0.000
Sn 0.000 0.500 0.000
Zn 0.000 0.000 0.500
```

## Properties
- Space group: No. 123
- Fermi-level density of states: 2.8 states/eV/f.u.
- Energy relative to the elements: 56 meV/atom

=====

No. 4
Computed, not measured: crystalline ZrCoSn2Hg at its relaxed geometry at the PBE-GGA level of DFT. Values from VASP.

```
&SYSTEM
  ibrav = 0, nat = 5, ntyp = 4
/
ATOMIC_SPECIES
Sn 118.71 Sn.upf
Co 58.93 Co.upf
Zr 91.22 Zr.upf
Hg 200.59 Hg.upf
CELL_PARAMETERS angstrom
-1.104 2.969 -3.659
0.517 -3.698 -3.157
-4.684 -1.099 0.521
ATOMIC_POSITIONS crystal
Sn 0.500 0.000 0.000
Sn 0.000 0.000 0.500
Co 0.000 0.000 0.000
Zr 0.000 0.500 0.000
Hg 0.500 0.500 0.500
```

## Properties
- Space group: No. 123
- Fermi-level density of states: 4.5 states/eV/f.u.
- Energy relative to the elements: 41 meV/atom

=====

No. 5
Computed, not measured: crystalline SrCoHg2 at its relaxed geometry at the PBE-GGA level of DFT. Values from VASP.

```
&SYSTEM
  ibrav = 0, nat = 4, ntyp = 3
/
ATOMIC_SPECIES
Hg 200.59 Hg.upf
Co 58.93 Co.upf
Sr 87.62 Sr.upf
CELL_PARAMETERS angstrom
5.402 -0.273 0.000
1.529 5.188 0.000
-3.466 -2.458 3.347
ATOMIC_POSITIONS crystal
Hg 0.250 0.750 0.500
Hg 0.000 0.000 0.000
Co 0.750 0.250 0.500
Sr 0.500 0.500 0.000
```

## Properties
- Space group: No. 119
- Fermi-level density of states: 6.0 states/eV/f.u.
- Energy relative to the elements: 221 meV/atom

=====

No. 6
Computed, not measured: crystalline SrCo2Hg at its relaxed geometry at the PBE-GGA level of DFT. Values from VASP.

```
&SYSTEM
  ibrav = 0, nat = 4, ntyp = 3
/
ATOMIC_SPECIES
Sr 87.62 Sr.upf
Hg 200.59 Hg.upf
Co 58.93 Co.upf
CELL_PARAMETERS angstrom
-2.020 7.635 -4.025
-2.895 5.456 -6.358
-4.996 6.191 -3.908
ATOMIC_POSITIONS crystal
Sr 0.750 0.750 0.750
Hg 0.250 0.250 0.250
Co 0.509 0.509 0.509
Co 0.991 0.991 0.991
```

## Properties
- Space group: No. 166
- Fermi-level density of states: 7.3 states/eV/f.u.
- Energy relative to the elements: 895 meV/atom

=====

No. 7
Computed, not measured: crystalline SrCoHg2 at its relaxed geometry at the PBE-GGA level of DFT. Values from VASP.

```
&SYSTEM
  ibrav = 0, nat = 4, ntyp = 3
/
ATOMIC_SPECIES
Co 58.93 Co.upf
Hg 200.59 Hg.upf
Sr 87.62 Sr.upf
CELL_PARAMETERS angstrom
-1.411 -1.946 3.870
2.020 -3.790 1.521
3.854 1.208 4.680
ATOMIC_POSITIONS crystal
Co 0.250 0.250 0.250
Hg 0.961 0.961 0.115
Hg 0.539 0.539 0.385
Sr 0.750 0.750 0.750
```

## Properties
- Space group: No. 12
- Fermi-level density of states: 7.1 states/eV/f.u.
- Energy relative to the elements: 35 meV/atom

=====

No. 8
Computed, not measured: crystalline SrCo2Hg at its relaxed geometry at the PBE-GGA level of DFT. Values from VASP.

```
&SYSTEM
  ibrav = 0, nat = 4, ntyp = 3
/
ATOMIC_SPECIES
Co 58.93 Co.upf
Sr 87.62 Sr.upf
Hg 200.59 Hg.upf
CELL_PARAMETERS angstrom
4.589 0.000 0.000
0.000 4.519 -0.024
0.000 -0.037 4.687
ATOMIC_POSITIONS crystal
Co 0.000 0.264 0.985
Co 0.000 0.236 0.515
Sr 0.500 0.750 0.750
Hg 0.500 0.250 0.250
```

## Properties
- Space group: No. 10
- Fermi-level density of states: 5.5 states/eV/f.u.
- Energy relative to the elements: 399 meV/atom

=====

No. 9
Computed, not measured: crystalline SrCo2Hg at its relaxed geometry at the PBE-GGA level of DFT. Values from VASP.

```
&SYSTEM
  ibrav = 0, nat = 4, ntyp = 3
/
ATOMIC_SPECIES
Sr 87.62 Sr.upf
Hg 200.59 Hg.upf
Co 58.93 Co.upf
CELL_PARAMETERS angstrom
-0.359 0.117 -3.543
-1.403 -3.275 0.034
-6.014 2.584 0.695
ATOMIC_POSITIONS crystal
Sr 0.500 0.500 0.750
Hg 0.500 0.500 0.250
Co 0.000 0.000 0.080
Co 0.000 0.000 0.420
```

## Properties
- Space group: No. 123
- Fermi-level density of states: 4.6 states/eV/f.u.
- Energy relative to the elements: 485 meV/atom

=====

No. 10
Computed, not measured: crystalline SrCo2Hg at its relaxed geometry at the PBE-GGA level of DFT. Values from VASP.

```
&SYSTEM
  ibrav = 0, nat = 8, ntyp = 3
/
ATOMIC_SPECIES
Co 58.93 Co.upf
Sr 87.62 Sr.upf
Hg 200.59 Hg.upf
CELL_PARAMETERS angstrom
-2.531 1.387 -3.597
-3.730 0.207 2.704
-1.183 9.579 1.570
ATOMIC_POSITIONS crystal
Co 0.875 0.125 0.750
Co 0.875 0.625 0.250
Co 0.875 0.125 0.250
Co 0.375 0.125 0.750
Sr 0.250 0.750 0.500
Sr 0.500 0.500 0.000
Hg 0.000 0.000 0.000
Hg 0.750 0.250 0.500
```

## Properties
- Space group: No. 141
- Fermi-level density of states: 7.2 states/eV/f.u.
- Energy relative to the elements: 397 meV/atom

=====

No. 11
Computed, not measured: crystalline SrCo2Hg at its relaxed geometry at the PBE-GGA level of DFT. Values from VASP.

```
&SYSTEM
  ibrav = 0, nat = 4, ntyp = 3
/
ATOMIC_SPECIES
Co 58.93 Co.upf
Hg 200.59 Hg.upf
Sr 87.62 Sr.upf
CELL_PARAMETERS angstrom
-4.994 0.709 -2.391
-1.622 -4.427 -2.988
1.440 1.642 5.137
ATOMIC_POSITIONS crystal
Co 0.787 0.287 0.500
Co 0.938 0.938 0.000
Hg 0.535 0.535 0.000
Sr 0.241 0.741 0.500
```

## Properties
- Space group: No. 44
- Fermi-level density of states: 4.2 states/eV/f.u.
- Energy relative to the elements: 378 meV/atom

=====

No. 12
Computed, not measured: crystalline SrCoHg at its relaxed geometry at the PBE-GGA level of DFT. Values from VASP.

```
&SYSTEM
  ibrav = 0, nat = 3, ntyp = 3
/
ATOMIC_SPECIES
Sr 87.62 Sr.upf
Hg 200.59 Hg.upf
Co 58.93 Co.upf
CELL_PARAMETERS angstrom
5.149 0.000 0.000
2.574 4.459 0.000
2.574 1.486 4.204
ATOMIC_POSITIONS crystal
Sr 0.750 0.750 0.750
Hg 0.500 0.500 0.500
Co 0.000 0.000 0.000
```

## Properties
- Space group: No. 216
- Fermi-level density of states: 5.0 states/eV/f.u.
- Energy relative to the elements: 734 meV/atom